Record 1
MnCr2Cu | PBEsol | optimized geometry

The value obtained for the spin magnetization is 0.00 μB/cell. For the formation energy, the calculation gives 0.268 eV/atom. For the density of states at the Fermi level, the calculation gives 3.2 states/eV/f.u. As for the space group: I4/mmm, No. 139.

Cell: 3.5357 3.5357 4.3023 Å, 114.26 114.26 90.00°
Sites, in units of the cell vectors:
Cr 0.2500 0.7500 0.5000
Cr 0.7500 0.2500 0.5000
Cu 0.5000 0.5000 0.0000
Mn 0.0000 0.0000 0.0000



Record 2
MnCr2CuPd | PBEsol | optimized geometry

The value obtained for the spin magnetization is 12.57 μB/cell. For the formation energy, the calculation gives 1.609 eV/atom. For the density of states at the Fermi level, the calculation gives 6.6 states/eV/f.u. As for the space group: P4/mmm, No. 123.

Cell: 4.7111 4.7248 4.7248 Å, 90.00 90.00 90.00°
Sites, in units of the cell vectors:
Mn 0.5000 0.0000 0.0000
Cr 0.0000 0.5000 0.0000
Cr 0.0000 0.0000 0.5000
Cu 0.5000 0.5000 0.5000
Pd 0.0000 0.0000 0.0000



Record 3
CrCu2Mo | PBEsol | optimized geometry

The value obtained for the spin magnetization is 0.37 μB/cell. For the formation energy, the calculation gives 0.350 eV/atom. For the density of states at the Fermi level, the calculation gives 3.9 states/eV/f.u. As for the space group: I-4m2, No. 119.

Cell: 3.6831 3.6831 4.4938 Å, 114.19 114.19 90.00°
Sites, in units of the cell vectors:
Mo 0.5000 0.5000 0.0000
Cr 0.2500 0.7500 0.5000
Cu 0.7500 0.2500 0.5000
Cu 0.0000 0.0000 0.0000



Record 4
CrCuMo | PBEsol | optimized geometry

The value obtained for the spin magnetization is 1.01 μB/cell. For the formation energy, the calculation gives 1.218 eV/atom. For the density of states at the Fermi level, the calculation gives 4.1 states/eV/f.u. As for the space group: F-43m, No. 216.

Cell: 4.0497 4.0497 4.0497 Å, 60.00 60.00 60.00°
Sites, in units of the cell vectors:
Cu 0.5000 0.5000 0.5000
Cr 0.0000 0.0000 0.0000
Mo 0.2500 0.2500 0.2500



Record 5
Cr3CuMo | PBEsol | optimized geometry

The value obtained for the spin magnetization is 8.56 μB/cell. For the formation energy, the calculation gives 1.786 eV/atom. For the density of states at the Fermi level, the calculation gives 4.2 states/eV/f.u. As for the space group: Pm-3m, No. 221.

Cell: 4.5369 4.5369 4.5369 Å, 90.00 90.00 90.00°
Sites, in units of the cell vectors:
Cr 0.5000 0.0000 0.0000
Cr 0.0000 0.0000 0.5000
Cr 0.0000 0.5000 0.0000
Mo 0.0000 0.0000 0.0000
Cu 0.5000 0.5000 0.5000



Record 6
NaCr2Cu | PBEsol | optimized geometry

The value obtained for the spin magnetization is 8.87 μB/cell. For the formation energy, the calculation gives 1.112 eV/atom. For the density of states at the Fermi level, the calculation gives 2.1 states/eV/f.u. As for the space group: Fm-3m, No. 225.

Cell: 4.5293 4.5293 4.5293 Å, 60.00 60.00 60.00°
Sites, in units of the cell vectors:
Cr 0.7500 0.7500 0.7500
Cr 0.2500 0.2500 0.2500
Na 0.0000 0.0000 0.0000
Cu 0.5000 0.5000 0.5000



Record 7
Cr2CuNi | PBEsol | optimized geometry

The value obtained for the spin magnetization is 0.54 μB/cell. For the formation energy, the calculation gives 0.235 eV/atom. For the density of states at the Fermi level, the calculation gives 6.4 states/eV/f.u. As for the space group: I-4m2, No. 119.

Cell: 3.6059 3.6059 4.3134 Å, 114.71 114.71 90.00°
Sites, in units of the cell vectors:
Ni 0.2500 0.7500 0.5000
Cr 0.0000 0.0000 0.0000
Cr 0.7500 0.2500 0.5000
Cu 0.5000 0.5000 0.0000



Record 8
Cr2CuNi | PBEsol | optimized geometry

The value obtained for the spin magnetization is 0.39 μB/cell. For the formation energy, the calculation gives 0.181 eV/atom. For the density of states at the Fermi level, the calculation gives 4.2 states/eV/f.u. As for the space group: P4mm, No. 99.

Cell: 2.9113 2.9113 5.3066 Å, 90.00 90.00 90.00°
Sites, in units of the cell vectors:
Cr 0.0000 0.0000 0.0046
Cr 0.5000 0.5000 0.2389
Ni 0.5000 0.5000 0.7480
Cu 0.0000 0.0000 0.5085



Record 9
Cr2CuNi | PBEsol | optimized geometry

The value obtained for the spin magnetization is 0.00 μB/cell. For the formation energy, the calculation gives 0.190 eV/atom. For the density of states at the Fermi level, the calculation gives 5.3 states/eV/f.u. As for the space group: I4/mmm, No. 139.

Cell: 3.3693 3.3693 4.5189 Å, 111.89 111.89 90.00°
Sites, in units of the cell vectors:
Ni 0.0000 0.0000 0.0000
Cu 0.5000 0.5000 0.0000
Cr 0.7500 0.2500 0.5000
Cr 0.2500 0.7500 0.5000



Record 10
CrCuNi6 | PBEsol | optimized geometry

The value obtained for the spin magnetization is 0.67 μB/cell. For the formation energy, the calculation gives -0.001 eV/atom. For the density of states at the Fermi level, the calculation gives 9.8 states/eV/f.u. As for the space group: Cmmm, No. 65.

Cell: 6.0117 6.0117 9.8365 Å, 90.00 90.00 109.41°
Sites, in units of the cell vectors:
Ni 0.8775 0.6297 0.8727
Ni 0.6297 0.8775 0.8727
Ni 0.3732 0.1211 0.6228
Ni 0.5000 0.5000 0.5000
Ni 0.3732 0.1211 0.3772
Ni 0.8775 0.6297 0.1273
Ni 0.7520 0.2480 0.7460
Ni 0.1211 0.3732 0.6228
Ni 0.2480 0.7520 0.7460
Ni 0.8789 0.6268 0.3772
Ni 0.3703 0.1225 0.8727
Ni 0.1225 0.3703 0.1273
Ni 0.1211 0.3732 0.3772
Ni 0.3703 0.1225 0.1273
Ni 0.7520 0.2480 0.2540
Ni 0.5000 0.5000 0.0000
Ni 0.6268 0.8789 0.3772
Ni 0.0000 0.0000 0.0000
Ni 0.1225 0.3703 0.8727
Ni 0.8789 0.6268 0.6228
Ni 0.0000 0.0000 0.5000
Ni 0.2480 0.7520 0.2540
Ni 0.6297 0.8775 0.1273
Ni 0.6268 0.8789 0.6228
Cu 0.5000 0.5000 0.2499
Cu 0.5000 0.5000 0.7501
Cu 0.2518 0.7482 0.0000
Cu 0.7482 0.2518 0.0000
Cr 0.7532 0.2468 0.5000
Cr 0.2468 0.7532 0.5000
Cr 0.0000 0.0000 0.7570
Cr 0.0000 0.0000 0.2430



Record 11
CrCu2Ni | PBEsol | optimized geometry

The value obtained for the spin magnetization is 3.19 μB/cell. For the formation energy, the calculation gives 0.203 eV/atom. For the density of states at the Fermi level, the calculation gives 5.6 states/eV/f.u. As for the space group: I4/mmm, No. 139.

Cell: 3.5022 3.5057 4.4746 Å, 113.06 113.04 90.00°
Sites, in units of the cell vectors:
Ni 0.5000 0.0000 0.0000
Cr 0.0000 0.5000 0.0000
Cu 0.2499 0.2499 0.4999
Cu 0.7501 0.7501 0.5001



Record 12
Cr3CuNi | PBEsol | optimized geometry

The value obtained for the spin magnetization is 11.11 μB/cell. For the formation energy, the calculation gives 1.779 eV/atom. For the density of states at the Fermi level, the calculation gives 11.3 states/eV/f.u. As for the space group: Pm-3m, No. 221.

Cell: 4.4174 4.4174 4.4174 Å, 90.00 90.00 90.00°
Sites, in units of the cell vectors:
Cr 0.5000 0.0000 0.0000
Cr 0.0000 0.5000 0.0000
Cr 0.0000 0.0000 0.5000
Cu 0.0000 0.0000 0.0000
Ni 0.5000 0.5000 0.5000